Na2Sr6TlIr: optimized geometry, GGA-PBE.

crystal system = orthorhombic
space group = Imm2, No. 44
final energy = -24.966 eV per cell

Cell: 8.780 8.780 8.768 Å, 119.95 119.95 90.04°
Positions (direct):
Sr  0.764  0.236  0.000
Sr  0.236  0.236  0.999
Sr  0.236  0.236  0.472
Ir  0.000  0.000  0.000
Na  0.250  0.751  0.500
Sr  0.764  0.765  0.000
Tl  0.500  0.500  0.000
Sr  0.764  0.764  0.528
Sr  0.236  0.764  0.000
Na  0.750  0.251  0.500

***

PaInOs2: optimized geometry, GGA-PBE.

crystal system = cubic
distance to the lowest polymorph of the same formula = 140 meV per atom
space group = Fm-3m, No. 225

Cell: 4.761 4.761 4.761 Å, 60.00 60.00 60.00°
Positions (direct):
Pa  0.500  0.500  0.500
Os  0.750  0.750  0.750
Os  0.250  0.250  0.250
In  0.000  0.000  0.000

***

Nd2InSn3Rh4: optimized geometry, GGA-PBE.

crystal system = tetragonal
space group = P-4m2, No. 115
final energy = -60.422 eV per cell

Cell: 4.473 4.473 10.878 Å, 90.00 90.00 90.00°
Positions (direct):
Rh  0.500  0.500  0.000
Rh  0.000  0.000  0.000
Nd  0.000  0.500  0.753
Sn  0.500  0.000  0.871
In  0.500  0.500  0.500
Sn  0.000  0.000  0.500
Nd  0.500  0.000  0.247
Sn  0.000  0.500  0.129
Rh  0.000  0.500  0.365
Rh  0.500  0.000  0.635

***

Number 1: calculated density 3.361 Mg/m³. Number 2: calculated density 15.802 Mg/m³. Number 3: calculated density 8.935 Mg/m³.